Record 1
La7Pr16Tm6 after structural relaxation, computed with PBE.

Output
- Density: 6.55 g cm⁻³
- Calculated formation energy: 0.24 eV/atom
- Space group: Fm-3m, No. 225
- Magnetic moment: 0.00 μB per formula unit

abc: 11.4997 11.4997 11.4997
angles: 60.00 60.00 60.00
Element x y z (fractional)
La1 0.0000 0.0000 0.0000
La2 0.0000 0.0000 0.5000
La3 0.0000 0.5000 0.0000
La4 0.0000 0.5000 0.5000
La5 0.5000 0.0000 0.0000
La6 0.5000 0.0000 0.5000
La7 0.5000 0.5000 0.0000
Pr1 0.0440 0.6520 0.6520
Pr2 0.1262 0.1262 0.1262
Pr3 0.1262 0.1262 0.6215
Pr4 0.1262 0.6215 0.1262
Pr5 0.3480 0.3480 0.3480
Pr6 0.3480 0.3480 0.9560
Pr7 0.3480 0.9560 0.3480
Pr8 0.3785 0.8738 0.8738
Pr9 0.6215 0.1262 0.1262
Pr10 0.6520 0.0440 0.6520
Pr11 0.6520 0.6520 0.0440
Pr12 0.6520 0.6520 0.6520
Pr13 0.8738 0.3785 0.8738
Pr14 0.8738 0.8738 0.3785
Pr15 0.8738 0.8738 0.8738
Pr16 0.9560 0.3480 0.3480
Tm1 0.2595 0.2595 0.7405
Tm2 0.2595 0.7405 0.2595
Tm3 0.2595 0.7405 0.7405
Tm4 0.7405 0.2595 0.2595
Tm5 0.7405 0.2595 0.7405
Tm6 0.7405 0.7405 0.2595

***

Record 2
LaPr3Tm4 after structural relaxation, computed with PBE.

Output
- Density: 7.68 g cm⁻³
- Calculated formation energy: 0.03 eV/atom
- E above lowest polymorph: 0 meV/atom
- Space group: Pmn2_1, No. 31
- Magnetic moment: 0.00 μB per formula unit

abc: 11.5805 7.3362 6.2989
angles: 90.00 90.00 90.00
Element x y z (fractional)
La1 0.0000 0.1269 0.0000
La2 0.5000 0.8731 0.5000
Pr1 0.0000 0.8700 0.5029
Pr2 0.2490 0.1312 0.3413
Pr3 0.2510 0.8688 0.8413
Pr4 0.5000 0.1300 0.0029
Pr5 0.7490 0.8688 0.8413
Pr6 0.7510 0.1312 0.3413
Tm1 0.0000 0.3832 0.5041
Tm2 0.0000 0.6184 0.0055
Tm3 0.2502 0.3816 0.8375
Tm4 0.2498 0.6184 0.3375
Tm5 0.5000 0.3816 0.5055
Tm6 0.5000 0.6168 0.0041
Tm7 0.7498 0.3816 0.8375
Tm8 0.7502 0.6184 0.3375

***

Record 3
La8PrTm2 after structural relaxation, computed with PBE.

Output
- Density: 6.45 g cm⁻³
- Calculated formation energy: 0.13 eV/atom
- E above lowest polymorph: 37 meV/atom
- Space group: C2/m, No. 12
- Magnetic moment: 0.00 μB per formula unit

abc: 10.4767 10.4767 5.7786
angles: 92.66 92.66 40.26
Element x y z (fractional)
La1 0.0439 0.0439 0.2393
La2 0.0914 0.6410 0.2641
La3 0.3142 0.3142 0.7630
La4 0.3590 0.9086 0.7359
La5 0.6410 0.0914 0.2641
La6 0.6858 0.6858 0.2370
La7 0.9086 0.3590 0.7359
La8 0.9561 0.9561 0.7607
Pr1 0.5000 0.5000 0.0000
Tm1 0.2158 0.2158 0.2533
Tm2 0.7842 0.7842 0.7467

***

Record 4
La2Pr3Tm6 after structural relaxation, computed with PBE.

Output
- Density: 7.46 g cm⁻³
- Calculated formation energy: 0.19 eV/atom
- Space group: C2/m, No. 12
- Magnetic moment: 0.00 μB per formula unit

abc: 6.1445 6.1445 11.6572
angles: 94.13 94.13 118.85
Element x y z (fractional)
La1 0.1799 0.8201 0.0000
La2 0.8201 0.1799 0.0000
Pr1 0.0000 0.0000 0.5000
Pr2 0.3360 0.6640 0.5000
Pr3 0.6640 0.3360 0.5000
Tm1 0.0711 0.4044 0.7473
Tm2 0.2637 0.2637 0.2466
Tm3 0.4044 0.0711 0.7473
Tm4 0.5956 0.9289 0.2527
Tm5 0.7363 0.7363 0.7534
Tm6 0.9289 0.5956 0.2527

***

Record 5
La7Pr2Tm3 after structural relaxation, computed with PBE.

Output
- Density: 6.96 g cm⁻³
- Calculated formation energy: 0.06 eV/atom
- Space group: P2/m, No. 10
- Magnetic moment: 0.00 μB per formula unit

abc: 6.5609 3.6039 17.8360
angles: 90.00 95.43 90.00
Element x y z (fractional)
La1 0.0000 0.0000 0.0000
La2 0.2309 0.5000 0.1718
La3 0.2630 0.5000 0.4910
La4 0.2827 0.0000 0.8354
La5 0.7173 0.0000 0.1646
La6 0.7370 0.5000 0.5090
La7 0.7691 0.5000 0.8282
Pr1 0.0598 0.5000 0.6703
Pr2 0.9402 0.5000 0.3297
Tm1 0.4579 0.0000 0.3388
Tm2 0.5000 0.5000 0.0000
Tm3 0.5421 0.0000 0.6612

***

Record 6
La2Pr6Tm3 after structural relaxation, computed with PBE.

Output
- Density: 6.77 g cm⁻³
- Calculated formation energy: 0.16 eV/atom
- E above lowest polymorph: 0 meV/atom
- Space group: C2/m, No. 12
- Magnetic moment: 0.00 μB per formula unit

abc: 6.2677 6.2677 11.9434
angles: 95.06 95.06 120.06
Element x y z (fractional)
La1 0.1668 0.8332 0.0000
La2 0.8332 0.1668 0.0000
Pr1 0.0828 0.4150 0.7445
Pr2 0.2525 0.2525 0.2553
Pr3 0.4150 0.0828 0.7445
Pr4 0.5850 0.9172 0.2555
Pr5 0.7475 0.7475 0.7447
Pr6 0.9172 0.5850 0.2555
Tm1 0.0000 0.0000 0.5000
Tm2 0.3345 0.6655 0.5000
Tm3 0.6655 0.3345 0.5000

***

Record 7
La3Pr2Tm3 after structural relaxation, computed with PBE.

Output
- Density: 7.24 g cm⁻³
- Calculated formation energy: 0.10 eV/atom
- E above lowest polymorph: 69 meV/atom
- Space group: C2/m, No. 12
- Magnetic moment: 0.00 μB per formula unit

abc: 16.4223 5.8941 6.1168
angles: 90.00 111.03 90.00
Element x y z (fractional)
La1 0.0000 0.0000 0.0000
La2 0.1360 0.0000 0.6964
La3 0.3640 0.5000 0.3036
La4 0.5000 0.5000 0.0000
La5 0.6360 0.5000 0.6964
La6 0.8640 0.0000 0.3036
Pr1 0.2489 0.5000 0.6825
Pr2 0.2511 0.0000 0.3175
Pr3 0.7489 0.0000 0.6825
Pr4 0.7511 0.5000 0.3175
Tm1 0.0000 0.5000 0.5000
Tm2 0.1274 0.5000 0.0820
Tm3 0.3726 0.0000 0.9180
Tm4 0.5000 0.0000 0.5000
Tm5 0.6274 0.0000 0.0820
Tm6 0.8726 0.5000 0.9180

***

Record 8
LaPr3Tm7 after structural relaxation, computed with PBE.

Output
- Density: 7.71 g cm⁻³
- Calculated formation energy: 0.18 eV/atom
- E above lowest polymorph: 67 meV/atom
- Space group: P3m1, No. 156
- Magnetic moment: 0.00 μB per formula unit

abc: 7.0471 7.0471 8.7330
angles: 90.00 90.00 120.00
Element x y z (fractional)
La1 0.0000 0.0000 0.0000
Pr1 0.1671 0.3342 0.6578
Pr2 0.1671 0.8329 0.6578
Pr3 0.6658 0.8329 0.6578
Tm1 0.0013 0.5007 0.0003
Tm2 0.3333 0.6667 0.3193
Tm3 0.3337 0.1669 0.3226
Tm4 0.4993 0.5007 0.0003
Tm5 0.4993 0.9987 0.0003
Tm6 0.8331 0.1669 0.3226
Tm7 0.8331 0.6663 0.3226

***

Record 9
La2Pr4Tm5 after structural relaxation, computed with PBE.

Output
- Density: 7.52 g cm⁻³
- Calculated formation energy: 0.08 eV/atom
- E above lowest polymorph: 0 meV/atom
- Space group: C2/m, No. 12
- Magnetic moment: 0.00 μB per formula unit

abc: 9.0459 9.0459 11.8417
angles: 94.52 94.52 22.68
Element x y z (fractional)
La1 0.2136 0.2136 0.3496
La2 0.7864 0.7864 0.6504
Pr1 0.1415 0.1415 0.7990
Pr2 0.4648 0.4648 0.7451
Pr3 0.5352 0.5352 0.2549
Pr4 0.8585 0.8585 0.2010
Tm1 0.0000 0.0000 0.0000
Tm2 0.3230 0.3230 0.9357
Tm3 0.4063 0.4063 0.4581
Tm4 0.5937 0.5937 0.5419
Tm5 0.6770 0.6770 0.0643

***

Record 10
LaPr6Tm5 after structural relaxation, computed with PBE.

Output
- Density: 7.52 g cm⁻³
- Calculated formation energy: 0.02 eV/atom
- Space group: Immm, No. 71
- Magnetic moment: 0.00 μB per formula unit

abc: 9.5863 9.5863 9.5863
angles: 148.76 116.21 72.74
Element x y z (fractional)
La1 0.0000 0.0000 0.0000
Pr1 0.0859 0.8334 0.2525
Pr2 0.2543 0.5000 0.7543
Pr3 0.4190 0.1666 0.2525
Pr4 0.5810 0.8334 0.7475
Pr5 0.7457 0.5000 0.2457
Pr6 0.9141 0.1666 0.7475
Tm1 0.1685 0.6685 0.5000
Tm2 0.3321 0.3321 0.0000
Tm3 0.5000 0.0000 0.5000
Tm4 0.6679 0.6679 0.0000
Tm5 0.8315 0.3315 0.5000

***

Record 11
La7Pr2Tm2 after structural relaxation, computed with PBE.

Output
- Density: 6.72 g cm⁻³
- Calculated formation energy: 0.11 eV/atom
- Space group: C2/m, No. 12
- Magnetic moment: 0.00 μB per formula unit

abc: 8.2440 8.2440 6.2294
angles: 105.21 105.21 89.89
Element x y z (fractional)
La1 0.0000 0.0000 0.0000
La2 0.0466 0.5834 0.8197
La3 0.4166 0.9534 0.1803
La4 0.4256 0.4256 0.1994
La5 0.5744 0.5744 0.8006
La6 0.5834 0.0466 0.8197
La7 0.9534 0.4166 0.1803
Pr1 0.2260 0.2260 0.5957
Pr2 0.7740 0.7740 0.4043
Tm1 0.2152 0.7848 0.5000
Tm2 0.7848 0.2152 0.5000

***

Record 12
La4PrTm5 after structural relaxation, computed with PBE.

Output
- Density: 7.65 g cm⁻³
- Calculated formation energy: 0.03 eV/atom
- Space group: P4/mmm, No. 123
- Magnetic moment: 0.00 μB per formula unit

abc: 3.6843 3.6843 24.6377
angles: 90.00 90.00 90.00
Element x y z (fractional)
La1 0.0000 0.0000 0.1001
La2 0.0000 0.0000 0.3001
La3 0.0000 0.0000 0.6999
La4 0.0000 0.0000 0.8999
Pr1 0.0000 0.0000 0.5000
Tm1 0.5000 0.5000 0.0000
Tm2 0.5000 0.5000 0.2003
Tm3 0.5000 0.5000 0.4008
Tm4 0.5000 0.5000 0.5992
Tm5 0.5000 0.5000 0.7997

***

Record 13
La4PrTm after structural relaxation, computed with PBE.

Output
- Density: 6.66 g cm⁻³
- Calculated formation energy: 0.06 eV/atom
- Space group: Imma, No. 74
- Magnetic moment: 0.00 μB per formula unit

abc: 12.3756 12.3756 12.3756
angles: 152.30 40.83 150.60
Element x y z (fractional)
La1 0.0945 0.4239 0.6706
La2 0.1476 0.0570 0.0906
La3 0.2533 0.4239 0.8294
La4 0.4665 0.0570 0.4094
La5 0.5335 0.9430 0.5906
La6 0.7467 0.5761 0.1706
La7 0.8524 0.9430 0.9094
La8 0.9055 0.5761 0.3294
Pr1 0.0000 0.5000 0.5000
Pr2 0.5000 0.5000 0.0000
Tm1 0.3309 0.0809 0.2500
Tm2 0.6691 0.9191 0.7500

***

Record 14
La2Pr7Tm2 after structural relaxation, computed with PBE.

Output
- Density: 6.77 g cm⁻³
- Calculated formation energy: 0.13 eV/atom
- E above lowest polymorph: 0 meV/atom
- Space group: C2/m, No. 12
- Magnetic moment: 0.00 μB per formula unit

abc: 8.3004 8.3004 6.1462
angles: 105.43 105.43 88.98
Element x y z (fractional)
La1 0.2254 0.2254 0.1113
La2 0.7746 0.7746 0.8887
Pr1 0.0000 0.0000 0.5000
Pr2 0.0389 0.5903 0.3178
Pr3 0.4097 0.9611 0.6822
Pr4 0.4282 0.4282 0.7018
Pr5 0.5718 0.5718 0.2982
Pr6 0.5903 0.0389 0.3178
Pr7 0.9611 0.4097 0.6822
Tm1 0.2197 0.7803 0.0000
Tm2 0.7803 0.2197 0.0000

***

Record 15
La5Pr3Tm2 after structural relaxation, computed with PBE.

Output
- Density: 6.74 g cm⁻³
- Calculated formation energy: 0.14 eV/atom
- Space group: C2/c, No. 15
- Magnetic moment: 0.00 μB per formula unit

abc: 9.3358 9.3358 10.2273
angles: 108.56 108.56 107.41
Element x y z (fractional)
La1 0.0226 0.9774 0.7500
La2 0.1339 0.3808 0.7586
La3 0.2294 0.7706 0.7500
La4 0.2761 0.7239 0.2500
La5 0.3808 0.1339 0.2586
La6 0.6192 0.8661 0.7414
La7 0.7239 0.2761 0.7500
La8 0.7706 0.2294 0.2500
La9 0.8661 0.6192 0.2414
La10 0.9774 0.0226 0.2500
Pr1 0.0264 0.2773 0.0583
Pr2 0.2773 0.0264 0.5583
Pr3 0.4811 0.5189 0.2500
Pr4 0.5189 0.4811 0.7500
Pr5 0.7227 0.9736 0.4417
Pr6 0.9736 0.7227 0.9417
Tm1 0.2202 0.4681 0.4415
Tm2 0.4681 0.2202 0.9415
Tm3 0.5319 0.7798 0.0585
Tm4 0.7798 0.5319 0.5585

***

Record 16
La6Pr5Tm2 after structural relaxation, computed with PBE.

Output
- Density: 6.58 g cm⁻³
- Calculated formation energy: 0.13 eV/atom
- Space group: Pbam, No. 55
- Magnetic moment: 0.00 μB per formula unit

abc: 11.2986 23.1939 3.6142
angles: 90.00 90.00 90.00
Element x y z (fractional)
La1 0.0306 0.1117 0.0000
La2 0.1351 0.3826 0.0000
La3 0.1648 0.6369 0.5000
La4 0.3352 0.1369 0.5000
La5 0.3649 0.8826 0.0000
La6 0.4694 0.6117 0.0000
La7 0.5306 0.3883 0.0000
La8 0.6351 0.1174 0.0000
La9 0.6648 0.8631 0.5000
La10 0.8352 0.3631 0.5000
La11 0.8649 0.6174 0.0000
La12 0.9694 0.8883 0.0000
Pr1 0.0000 0.5000 0.5000
Pr2 0.0861 0.2469 0.5000
Pr3 0.1674 0.9924 0.5000
Pr4 0.3326 0.4924 0.5000
Pr5 0.4139 0.7469 0.5000
Pr6 0.5000 0.0000 0.5000
Pr7 0.5861 0.2531 0.5000
Pr8 0.6674 0.5076 0.5000
Pr9 0.8326 0.0076 0.5000
Pr10 0.9139 0.7531 0.5000
Tm1 0.1647 0.7725 0.0000
Tm2 0.3353 0.2725 0.0000
Tm3 0.6647 0.7275 0.0000
Tm4 0.8353 0.2275 0.0000

***

Record 17
LaPr6Tm8 after structural relaxation, computed with PBE.

Output
- Density: 7.76 g cm⁻³
- Calculated formation energy: 0.13 eV/atom
- Space group: R-3, No. 148
- Magnetic moment: 0.00 μB per formula unit

abc: 8.7778 8.7778 8.7778
angles: 62.04 62.04 62.04
Element x y z (fractional)
La1 0.0000 0.0000 0.0000
Pr1 0.0969 0.2308 0.5350
Pr2 0.2308 0.5350 0.0969
Pr3 0.4650 0.9031 0.7692
Pr4 0.5350 0.0969 0.2308
Pr5 0.7692 0.4650 0.9031
Pr6 0.9031 0.7692 0.4650
Tm1 0.1135 0.7570 0.7078
Tm2 0.2430 0.2922 0.8865
Tm3 0.2922 0.8865 0.2430
Tm4 0.4232 0.4232 0.4232
Tm5 0.5768 0.5768 0.5768
Tm6 0.7078 0.1135 0.7570
Tm7 0.7570 0.7078 0.1135
Tm8 0.8865 0.2430 0.2922

***

Record 18
LaPr8Tm3 after structural relaxation, computed with PBE.

Output
- Density: 7.07 g cm⁻³
- Calculated formation energy: 0.02 eV/atom
- Space group: C2, No. 5
- Magnetic moment: 0.00 μB per formula unit

abc: 11.5954 11.5954 6.3234
angles: 100.48 100.48 143.20
Element x y z (fractional)
La1 0.0000 0.0000 0.0000
Pr1 0.1657 0.8343 0.0000
Pr2 0.2488 0.7512 0.5000
Pr3 0.3342 0.6658 0.0000
Pr4 0.5016 0.4984 0.0000
Pr5 0.5830 0.4170 0.5000
Pr6 0.7487 0.2513 0.5000
Pr7 0.8326 0.1674 0.0000
Pr8 0.9180 0.0820 0.5000
Tm1 0.0850 0.9150 0.5000
Tm2 0.4164 0.5836 0.5000
Tm3 0.6653 0.3347 0.0000

***

Record 19
La10PrTm4 after structural relaxation, computed with PBE.

Output
- Density: 6.88 g cm⁻³
- Calculated formation energy: 0.21 eV/atom
- Space group: I4/mmm, No. 139
- Magnetic moment: 0.00 μB per formula unit

abc: 9.1014 9.1014 9.1014
angles: 100.94 100.94 128.35
Element x y z (fractional)
La1 0.0094 0.7901 0.2194
La2 0.2099 0.4293 0.2194
La3 0.2099 0.9906 0.7806
La4 0.2500 0.7500 0.5000
La5 0.4293 0.2099 0.2194
La6 0.5707 0.7901 0.7806
La7 0.7500 0.2500 0.5000
La8 0.7901 0.0094 0.2194
La9 0.7901 0.5707 0.7806
La10 0.9906 0.2099 0.7806
Pr1 0.5000 0.5000 0.0000
Tm1 0.2694 0.2694 0.5388
Tm2 0.2694 0.7306 0.0000
Tm3 0.7306 0.2694 0.0000
Tm4 0.7306 0.7306 0.4612